Material: Zn2Ga2Hg
Method: DFT, PBE-GGA
State: relaxed

Lattice parameters (Å, degrees): 3.960 3.960 6.773 73.00 73.00 90.00
Element x y z (fractional)
Zn  0.400  0.400  0.201
Zn  0.600  0.600  0.799
Hg  0.000  0.000  0.000
Ga  0.750  0.250  0.500
Ga  0.250  0.750  0.500

Summary:
* magnetic moment: 0.000 μB/atom
* ρ: 8.08 g/cm³
* V: 97 Å³/cell
* E above lowest polymorph: 14 meV/atom


Material: TbDyGe
Method: DFT, PBE-GGA
State: relaxed

Lattice parameters (Å, degrees): 4.892 4.892 4.892 60.00 60.00 60.00
Element x y z (fractional)
Ge  0.250  0.250  0.250
Tb  0.000  0.000  0.000
Dy  0.500  0.500  0.500

Summary:
* magnetic moment: 0.000 μB/atom
* ρ: 7.91 g/cm³
* V: 83 Å³/cell
* E above lowest polymorph: 66 meV/atom


Material: Rb2Np3HgS8
Method: DFT, PBE-GGA
State: relaxed

Lattice parameters (Å, degrees): 8.039 8.039 9.400 64.69 64.69 60.00
Site moments in Bohr magnetons follow the coordinates.
Element x y z (fractional)
Rb  0.138  0.138  0.587  0.00
Rb  0.500  0.500  0.500  0.00
Np  0.500  0.998  0.002  2.83
Np  0.998  0.500  0.002  2.83
Np  0.500  0.500  0.002  2.83
Hg  0.862  0.862  0.414  -0.04
S  0.275  0.275  0.175  -0.11
S  0.722  0.722  0.834  -0.13
S  0.239  0.239  0.832  -0.14
S  0.689  0.239  0.832  -0.14
S  0.239  0.689  0.832  -0.14
S  0.761  0.308  0.169  -0.16
S  0.308  0.761  0.169  -0.16
S  0.761  0.761  0.169  -0.16

Summary:
* magnetic moment: 0.500 μB/atom
* ρ: 4.86 g/cm³
* uncorrected formation energy: -1.09 eV/atom
* V: 457 Å³/cell


Material: Mn2BeIn
Method: DFT, PBE-GGA
State: relaxed

Lattice parameters (Å, degrees): 2.859 2.859 6.185 90.00 90.00 90.00
Site moments in Bohr magnetons follow the coordinates.
Element x y z (fractional)
Be  0.000  0.000  0.436  0.01
Mn  0.000  0.000  0.054  0.65
Mn  0.500  0.500  0.266  -0.40
In  0.500  0.500  0.744  -0.02

Summary:
* magnetic moment: 0.061 μB/atom
* ρ: 7.68 g/cm³
* V: 51 Å³/cell
* E above lowest polymorph: 11 meV/atom


Material: Ca2YOs
Method: DFT, PBE-GGA
State: relaxed

Lattice parameters (Å, degrees): 3.503 3.502 10.187 69.79 90.00 90.00
Element x y z (fractional)
Y  0.500  0.830  0.669
Ca  0.000  0.013  0.988
Ca  0.500  0.172  0.329
Os  0.000  0.485  0.515

Summary:
* magnetic moment: 0.000 μB/atom
* ρ: 5.09 g/cm³
* V: 117 Å³/cell
* E above lowest polymorph: 0 meV/atom


Material: BaV2Ag2S7
Method: DFT, PBE-GGA
State: relaxed

Lattice parameters (Å, degrees): 6.850 6.850 10.691 71.31 71.31 60.00
Element x y z (fractional)
Ba  0.500  0.500  0.500
V  0.927  0.927  0.220
V  0.073  0.073  0.780
Ag  0.754  0.754  0.737
Ag  0.246  0.246  0.263
S  0.201  0.898  0.291
S  0.609  0.201  0.291
S  0.898  0.609  0.291
S  0.391  0.102  0.709
S  0.799  0.391  0.709
S  0.000  0.000  0.000
S  0.102  0.799  0.709

Summary:
* magnetic moment: 0.000 μB/atom
* ρ: 2.80 g/cm³
* uncorrected formation energy: -0.72 eV/atom
* V: 404 Å³/cell


Material: AlAgP2
Method: DFT, PBE-GGA
State: relaxed

Lattice parameters (Å, degrees): 3.559 3.559 5.419 90.00 90.00 90.00
Element x y z (fractional)
P  0.000  0.000  0.953
P  0.000  0.000  0.547
Al  0.500  0.500  0.750
Ag  0.500  0.500  0.250

Summary:
* magnetic moment: 0.000 μB/atom
* ρ: 4.76 g/cm³
* DFT total energy: -4.12 eV per atom
* V: 69 Å³/cell


Material: Ac2Mg3Ge
Method: DFT, PBE-GGA
State: relaxed

Lattice parameters (Å, degrees): 4.434 4.770 8.683 90.00 90.00 90.00
Element x y z (fractional)
Ac  0.000  0.500  0.031
Ac  0.000  0.000  0.473
Mg  0.500  0.000  0.833
Mg  0.500  0.000  0.174
Mg  0.500  0.500  0.651
Ge  0.500  0.500  0.337

Summary:
* magnetic moment: 0.000 μB/atom
* ρ: 5.42 g/cm³
* DFT total energy: -3.17 eV per atom
* V: 184 Å³/cell


Material: TlSn7Pb12
Method: DFT, PBE-GGA
State: relaxed

Lattice parameters (Å, degrees): 9.148 9.148 9.148 105.53 105.53 105.53
Element x y z (fractional)
Tl  0.000  0.000  0.000
Sn  0.964  0.655  0.015
Sn  0.345  0.985  0.036
Sn  0.985  0.036  0.345
Sn  0.500  0.500  0.500
Sn  0.015  0.964  0.655
Sn  0.655  0.015  0.964
Sn  0.036  0.345  0.985
Pb  0.840  0.219  0.602
Pb  0.781  0.398  0.160
Pb  0.424  0.124  0.409
Pb  0.876  0.591  0.576
Pb  0.398  0.160  0.781
Pb  0.591  0.576  0.876
Pb  0.409  0.424  0.124
Pb  0.602  0.840  0.219
Pb  0.124  0.409  0.424
Pb  0.576  0.876  0.591
Pb  0.219  0.602  0.840
Pb  0.160  0.781  0.398

Summary:
* magnetic moment: 0.000 μB/atom
* ρ: 8.84 g/cm³
* DFT total energy: -3.62 eV per atom
* V: 661 Å³/cell


Material: Sm2DyPuBi4
Method: DFT, PBE-GGA
State: relaxed

Lattice parameters (Å, degrees): 4.537 7.850 7.851 109.41 90.00 90.00
Site moments in Bohr magnetons follow the coordinates.
Element x y z (fractional)
Sm  0.500  0.000  0.500  -0.03
Sm  0.000  0.500  0.500  0.00
Dy  0.000  0.000  0.000  -0.01
Pu  0.500  0.500  0.000  5.29
Bi  0.500  0.247  0.245  -0.04
Bi  0.500  0.753  0.755  -0.04
Bi  0.000  0.250  0.754  -0.08
Bi  0.000  0.750  0.246  -0.08

Summary:
* magnetic moment: 0.642 μB/atom
* ρ: 9.72 g/cm³
* DFT total energy: -6.24 eV per atom
* V: 264 Å³/cell


Material: BaTlAgPd3
Method: DFT, PBE-GGA
State: relaxed

Lattice parameters (Å, degrees): 7.003 6.312 7.147 116.20 90.00 90.00
Element x y z (fractional)
Ba  0.750  0.320  0.641
Ba  0.250  0.680  0.359
Tl  0.250  0.359  0.717
Tl  0.750  0.641  0.283
Ag  0.250  0.917  0.835
Ag  0.750  0.083  0.165
Pd  0.250  0.138  0.276
Pd  0.000  0.276  0.000
Pd  0.500  0.724  0.000
Pd  0.500  0.276  0.000
Pd  0.000  0.724  0.000
Pd  0.750  0.862  0.724

Summary:
* magnetic moment: 0.000 μB/atom
* ρ: 9.01 g/cm³
* DFT total energy: -3.96 eV per atom
* V: 283 Å³/cell


Material: SrLi2PtS
Method: DFT, PBE-GGA
State: relaxed

Lattice parameters (Å, degrees): 4.609 5.907 4.609 90.00 90.00 90.00
Element x y z (fractional)
Sr  0.000  0.500  0.000
S  0.500  0.500  0.500
Pt  0.000  0.000  0.000
Li  0.000  0.000  0.500
Li  0.500  0.000  0.000

Summary:
* magnetic moment: 0.000 μB/atom
* ρ: 4.35 g/cm³
* uncorrected formation energy: -0.65 eV/atom
* V: 125 Å³/cell


- The highest V belongs to which entry?
  TlSn7Pb12


- Number 6 is which compound?
  BaV2Ag2S7


- What is the formula in the seventh record?
  AlAgP2